# Li3Pm2HoSe6

A relaxed structure of Li3Pm2HoSe6 (PBE, Alexandria).

Structure (CIF):
```
data_Li3Pm2HoSe6
_cell_length_a 7.163
_cell_length_b 12.411
_cell_length_c 6.940
_cell_angle_alpha 90.00
_cell_angle_beta 110.09
_cell_angle_gamma 90.00
_space_group_name_H-M_alt 'C 1 2/m 1'
_space_group_IT_number 12
_space_group_name_Hall '-C 2y'
loop_
_atom_site_label
_atom_site_type_symbol
_atom_site_fract_x
_atom_site_fract_y
_atom_site_fract_z
_atom_site_occupancy
Li1 Li 0.000 0.000 0.000 1
Li2 Li 0.000 0.336 0.000 1
Pm1 Pm 0.000 0.167 0.500 1
Ho1 Ho 0.000 0.500 0.500 1
Se1 Se 0.241 0.500 0.245 1
Se2 Se 0.248 0.337 0.757 1
```


# LiPmHo4Se8

A relaxed structure of LiPmHo4Se8 (PBE, Alexandria).

Structure (CIF):
```
data_LiPmHo4Se8
_cell_length_a 8.3404
_cell_length_b 8.3404
_cell_length_c 20.7037
_cell_angle_alpha 90.00
_cell_angle_beta 90.00
_cell_angle_gamma 120.00
_space_group_name_H-M_alt 'R 3 m'
_space_group_IT_number 160
_space_group_name_Hall 'R 3 -2"'
loop_
_atom_site_label
_atom_site_type_symbol
_atom_site_fract_x
_atom_site_fract_y
_atom_site_fract_z
_atom_site_occupancy
Li1 Li 0.0000 0.0000 0.0000 1
Pm1 Pm 0.0000 0.0000 0.6300 1
Ho1 Ho 0.0000 0.0000 0.2517 1
Ho2 Ho 0.1737 0.3473 0.4570 1
Se1 Se 0.0000 0.0000 0.3843 1
Se2 Se 0.0000 0.0000 0.8693 1
Se3 Se 0.0105 0.5052 0.3795 1
Se4 Se 0.1753 0.3506 0.2035 1
```


Number 1: raw total energy -5.074 eV/atom, formation energy from raw total energies -1.68 eV/atom. Number 2: raw total energy -5.548 eV/atom, formation energy from raw total energies -1.77 eV/atom.